This record from the Alexandria database describes a relaxed structure of La2CdGe4Ir3. The functional is PBE.

The structure in POSCAR format:
```
La2CdGe4Ir3
1.0
4.385 0.000 0.000
0.000 4.385 0.000
0.000 0.000 10.396
La Ge Ir Cd
2 4 3 1
Cartesian
2.193 0.000 2.446 La
0.000 2.193 7.950 La
2.193 2.193 0.000 Ge
0.000 0.000 0.000 Ge
2.193 0.000 6.711 Ge
0.000 2.193 3.685 Ge
0.000 0.000 5.198 Ir
0.000 2.193 1.236 Ir
2.193 0.000 9.160 Ir
2.193 2.193 5.198 Cd
```

crystal system	tetragonal
density	10.45	Mg/m³
space group	P-4m2, No. 115
formation energy	-0.6623	eV per atom
VASP energy	-62.44	eV for the cell shown



This record from the Alexandria database describes a relaxed structure of MgCd2GeIr. The functional is PBE.

The structure in POSCAR format:
```
MgCd2GeIr
1.0
4.980 0.000 0.000
0.000 4.885 0.000
0.000 0.000 4.980
Mg Ge Cd Ir
1 1 2 1
Cartesian
0.000 2.442 0.000 Mg
0.000 0.000 0.000 Ge
2.490 0.000 0.000 Cd
0.000 0.000 2.490 Cd
2.490 2.442 2.490 Ir
```

crystal system	tetragonal
density	7.04	Mg/m³
space group	P4/mmm, No. 123
formation energy	0.9319	eV per atom
VASP energy	-12.24	eV for the cell shown



This record from the Alexandria database describes a relaxed structure of MnCdGeIr2. The functional is PBE.

The structure in POSCAR format:
```
MnCdGeIr2
1.0
4.592 0.000 0.000
0.000 4.567 0.000
0.000 0.000 4.592
Cd Ge Mn Ir
1 1 1 2
Cartesian
2.296 2.283 2.296 Cd
0.000 0.000 0.000 Ge
0.000 2.283 0.000 Mn
2.296 0.000 0.000 Ir
0.000 0.000 2.296 Ir
```

crystal system	tetragonal
density	10.77	Mg/m³
space group	P4/mmm, No. 123
formation energy	0.7042	eV per atom
VASP energy	-28.90	eV for the cell shown



This record from the Alexandria database describes a relaxed structure of NbCdGeIr2. The functional is PBE.

The structure in POSCAR format:
```
NbCdGeIr2
1.0
-3.445 3.034 -1.334
-3.619 -3.024 2.469
0.650 2.505 4.020
Nb Cd Ir Ge
1 1 2 1
Cartesian
0.000 0.000 0.000 Nb
-1.810 -1.512 1.235 Cd
0.325 1.252 2.010 Ir
-1.723 1.517 -0.667 Ir
-3.208 1.258 2.578 Ge
```

crystal system	tetragonal
density	9.04	Mg/m³
space group	P4/mmm, No. 123
formation energy	1.3292	eV per atom
VASP energy	-26.68	eV for the cell shown



This record from the Alexandria database describes a relaxed structure of Nd2CdGe4Ir3. The functional is PBE.

The structure in POSCAR format:
```
Nd2CdGe4Ir3
1.0
4.344 0.000 0.000
0.000 4.344 0.000
0.000 0.000 10.373
Ge Ir Cd Nd
4 3 1 2
Cartesian
2.172 2.172 0.000 Ge
0.000 2.172 3.665 Ge
0.000 0.000 0.000 Ge
2.172 0.000 6.707 Ge
0.000 2.172 1.237 Ir
2.172 0.000 9.136 Ir
0.000 0.000 5.186 Ir
2.172 2.172 5.186 Cd
2.172 0.000 2.433 Nd
0.000 2.172 7.939 Nd
```

crystal system	tetragonal
density	10.76	Mg/m³
space group	P-4m2, No. 115
formation energy	-0.6253	eV per atom
VASP energy	-61.76	eV for the cell shown



This record from the Alexandria database describes a relaxed structure of Nd2CdGe3Ir4. The functional is PBE.

The structure in POSCAR format:
```
Nd2CdGe3Ir4
1.0
-0.160 4.228 -0.085
-2.384 -0.160 -3.493
-8.906 -0.215 6.089
Ir Ge Nd Cd
4 3 2 1
Cartesian
-5.868 1.974 3.915 Ir
-1.272 2.034 -1.789 Ir
-4.310 -0.155 0.385 Ir
0.000 0.000 0.000 Ir
-4.453 -0.107 3.044 Ge
-7.874 1.926 5.286 Ge
-2.304 -0.107 -0.986 Ge
-7.929 -0.243 2.860 Nd
-2.249 2.062 1.441 Nd
-5.725 1.926 1.256 Cd
```

crystal system	tetragonal
density	11.93	Mg/m³
space group	P-4m2, No. 115
formation energy	-0.6188	eV per atom
VASP energy	-65.93	eV for the cell shown



This record from the Alexandria database describes a relaxed structure of CdGeIrO6. The functional is PBE.

The structure in POSCAR format:
```
CdGeIrO6
1.0
-4.194 -2.209 1.990
2.122 -1.901 -4.279
5.590 -5.795 5.346
Ir O Cd Ge
2 12 2 2
Cartesian
2.103 -6.453 3.910 Ir
1.414 -3.453 -0.853 Ir
-0.840 -5.474 1.208 O
2.291 -6.310 1.974 O
-0.528 -3.413 -0.676 O
6.125 -6.186 1.890 O
-0.641 -3.483 3.160 O
4.046 -6.492 3.733 O
4.159 -6.423 -0.103 O
4.275 -8.259 1.578 O
4.357 -4.431 1.849 O
-0.758 -1.647 1.479 O
-2.608 -3.719 1.167 O
1.227 -3.596 1.083 O
2.795 -2.898 2.673 Cd
0.000 0.000 0.000 Cd
4.209 -6.350 1.820 Ge
-0.691 -3.555 1.237 Ge
```

crystal system	trigonal
density	7.10	Mg/m³
space group	P-31c, No. 163
VASP energy	-106.87	eV for the cell shown



This record from the Alexandria database describes a relaxed structure of Pm2CdGe4Ir3. The functional is PBE.

The structure in POSCAR format:
```
Pm2CdGe4Ir3
1.0
4.328 0.000 0.000
0.000 4.328 0.000
0.000 0.000 10.375
Ge Ir Cd Pm
4 3 1 2
Cartesian
0.000 0.000 0.000 Ge
2.164 2.164 0.000 Ge
0.000 2.164 3.664 Ge
2.164 0.000 6.712 Ge
0.000 2.164 1.242 Ir
2.164 0.000 9.133 Ir
0.000 0.000 5.188 Ir
2.164 2.164 5.188 Cd
0.000 2.164 7.945 Pm
2.164 0.000 2.430 Pm
```

crystal system	tetragonal
density	10.85	Mg/m³
space group	P-4m2, No. 115
formation energy	-0.6236	eV per atom
VASP energy	-61.71	eV for the cell shown



| no. | calculated volume (Å³/cell) |
| --- | --- |
| 1 | 200 |
| 2 | 121 |
| 3 | 96 |
| 4 | 122 |
| 5 | 196 |
| 6 | 193 |
| 7 | 221 |
| 8 | 194 |